PBE with a Hubbard U Rb4Mn3F10, relaxed; symmetry = I4/mmm (139); VASP energy = -91.95 eV/cell; spin magnetization = 15.0 μB per formula unit
1.0
-2.1547 2.1547 15.6343
2.1547 -2.1547 15.6343
2.1547 2.1547 -15.6343
Rb Mn F
4 3 10
direct
0.0686 0.0686 0.0000
0.2034 0.2034 0.0000
0.7966 0.7966 0.0000
0.9314 0.9314 0.0000
0.3617 0.3617 0.0000
0.5000 0.5000 0.0000
0.6383 0.6383 0.0000
0.0000 0.5000 0.5000
0.1376 0.6376 0.5000
0.2935 0.2935 0.0000
0.3624 0.8624 0.5000
0.4310 0.4310 0.0000
0.5000 0.0000 0.5000
0.5690 0.5690 0.0000
0.6376 0.1376 0.5000
0.7065 0.7065 0.0000
0.8624 0.3624 0.5000